[1]
# AlRe2Ir

AlRe2Ir after structural relaxation (PBE, Alexandria).

## Properties
V = 59.1 Å³/cell
formation energy = -0.19 eV/atom
E_tot = -38.246 eV for the cell shown

Cell: 2.800 3.862 5.469 Å, 90.00 90.00 90.00°
Positions (direct):
Re 0.500 0.500 0.235
Re 0.000 0.000 0.024
Ir 0.500 0.500 0.723
Al 0.000 0.000 0.518

[2]
# AuS3N

AuS3N after structural relaxation (PBE, Alexandria).

## Properties
V = 120.6 Å³/cell
ΔE_f (raw) = 924 kJ/mol of formula units
E_tot = -14.407 eV for the cell shown

Cell: 4.940 4.940 4.940 Å, 90.00 90.00 90.00°
Positions (direct):
Au 0.000 0.000 0.000
S 0.500 0.000 0.000
S 0.000 0.000 0.500
S 0.000 0.500 0.000
N 0.500 0.500 0.500